Version i
DFT (PBE) results for a relaxed Ac2Pm3Sm2 crystal.

Results
Its density of states at the Fermi level is 20.468 states/eV/cell. As for the size of the total moment: 0.0 μB/f.u.

```
data_Ac2Pm3Sm2
_cell_length_a 18.108
_cell_length_b 3.687
_cell_length_c 9.003
_cell_angle_alpha 90.00
_cell_angle_beta 118.82
_cell_angle_gamma 90.00
_space_group_name_H-M_alt 'C 1 2/m 1'
_space_group_IT_number 12
_space_group_name_Hall '-C 2y'
loop_
_atom_site_label
_atom_site_type_symbol
_atom_site_fract_x
_atom_site_fract_y
_atom_site_fract_z
Ac1 Ac 0.144 0.000 0.325
Pm1 Pm 0.000 0.000 0.500
Pm2 Pm 0.211 0.000 0.811
Sm1 Sm 0.067 0.500 0.905
```



Version ii
DFT (PBE) results for a relaxed Ac2Pm3Sm2 crystal.

Results
Its density of states at the Fermi level is 10.786 states/eV/cell. As for the size of the total moment: 0.0 μB/f.u.

```
data_Ac2Pm3Sm2
_cell_length_a 5.875
_cell_length_b 3.614
_cell_length_c 12.577
_cell_angle_alpha 90.00
_cell_angle_beta 103.44
_cell_angle_gamma 90.00
_space_group_name_H-M_alt 'P 1 2/m 1'
_space_group_IT_number 10
_space_group_name_Hall '-P 2y'
loop_
_atom_site_label
_atom_site_type_symbol
_atom_site_fract_x
_atom_site_fract_y
_atom_site_fract_z
Ac1 Ac 0.078 0.000 0.156
Pm1 Pm 0.220 0.000 0.440
Pm2 Pm 0.500 0.000 0.000
Sm1 Sm 0.353 0.500 0.705
```



Least stable: version ii



Version i
DFT (PBE) results for a relaxed Ac2Pm2Sm7 crystal.

Results
Its density of states at the Fermi level is 35.240 states/eV/cell. As for the size of the total moment: 0.0 μB/f.u.

```
data_Ac2Pm2Sm7
_cell_length_a 11.484
_cell_length_b 12.059
_cell_length_c 6.258
_cell_angle_alpha 90.00
_cell_angle_beta 112.50
_cell_angle_gamma 90.00
_space_group_name_H-M_alt 'C 1 2/m 1'
_space_group_IT_number 12
_space_group_name_Hall '-C 2y'
loop_
_atom_site_label
_atom_site_type_symbol
_atom_site_fract_x
_atom_site_fract_y
_atom_site_fract_z
Ac1 Ac 0.229 0.000 0.086
Pm1 Pm 0.000 0.229 0.000
Sm1 Sm 0.000 0.000 0.500
Sm2 Sm 0.087 0.500 0.303
Sm3 Sm 0.170 0.237 0.663
```



Version ii
DFT (PBE) results for a relaxed Ac2Pm2Sm7 crystal.

Results
Its density of states at the Fermi level is 39.507 states/eV/cell. As for the size of the total moment: 0.0 μB/f.u.

```
data_Ac2Pm2Sm7
_cell_length_a 6.906
_cell_length_b 12.502
_cell_length_c 9.582
_cell_angle_alpha 90.00
_cell_angle_beta 90.00
_cell_angle_gamma 90.00
_space_group_name_H-M_alt 'C m m m'
_space_group_IT_number 65
_space_group_name_Hall '-C 2 2'
loop_
_atom_site_label
_atom_site_type_symbol
_atom_site_fract_x
_atom_site_fract_y
_atom_site_fract_z
Ac1 Ac 0.248 0.000 0.000
Pm1 Pm 0.000 0.264 0.500
Sm1 Sm 0.000 0.000 0.500
Sm2 Sm 0.000 0.500 0.326
Sm3 Sm 0.250 0.250 0.187
```



Least stable: version ii



Version i
DFT (PBE) results for a relaxed Ac2PmSm8 crystal.

Results
Its density of states at the Fermi level is 33.803 states/eV/cell. As for the size of the total moment: 0.0 μB/f.u.

```
data_Ac2PmSm8
_cell_length_a 19.939
_cell_length_b 7.149
_cell_length_c 5.732
_cell_angle_alpha 90.00
_cell_angle_beta 93.13
_cell_angle_gamma 90.00
_space_group_name_H-M_alt 'C 1 2/m 1'
_space_group_IT_number 12
_space_group_name_Hall '-C 2y'
loop_
_atom_site_label
_atom_site_type_symbol
_atom_site_fract_x
_atom_site_fract_y
_atom_site_fract_z
Ac1 Ac 0.218 0.000 0.257
Pm1 Pm 0.000 0.500 0.000
Sm1 Sm 0.044 0.000 0.236
Sm2 Sm 0.124 0.235 0.733
Sm3 Sm 0.177 0.500 0.226
```



Version ii
DFT (PBE) results for a relaxed Ac2PmSm8 crystal.

Results
Its density of states at the Fermi level is 36.396 states/eV/cell. As for the size of the total moment: 0.0 μB/f.u.

```
data_Ac2PmSm8
_cell_length_a 18.803
_cell_length_b 5.243
_cell_length_c 8.274
_cell_angle_alpha 90.00
_cell_angle_beta 105.42
_cell_angle_gamma 90.00
_space_group_name_H-M_alt 'C 1 2/m 1'
_space_group_IT_number 12
_space_group_name_Hall '-C 2y'
loop_
_atom_site_label
_atom_site_type_symbol
_atom_site_fract_x
_atom_site_fract_y
_atom_site_fract_z
Ac1 Ac 0.226 0.000 0.141
Pm1 Pm 0.000 0.500 0.500
Sm1 Sm 0.042 0.000 0.227
Sm2 Sm 0.088 0.500 0.951
Sm3 Sm 0.133 0.000 0.672
Sm4 Sm 0.179 0.500 0.407
```



Least stable: version i



Version i
DFT (PBE) results for a relaxed AcPm2Sm5 crystal.

Results
Its density of states at the Fermi level is 25.024 states/eV/cell. As for the size of the total moment: 0.0 μB/f.u.

```
data_AcPm2Sm5
_cell_length_a 7.360
_cell_length_b 14.734
_cell_length_c 5.196
_cell_angle_alpha 90.00
_cell_angle_beta 90.00
_cell_angle_gamma 90.00
_space_group_name_H-M_alt 'P b a m'
_space_group_IT_number 55
_space_group_name_Hall '-P 2 2ab'
loop_
_atom_site_label
_atom_site_type_symbol
_atom_site_fract_x
_atom_site_fract_y
_atom_site_fract_z
Ac1 Ac 0.000 0.000 0.000
Pm1 Pm 0.247 0.373 0.500
Sm1 Sm 0.000 0.500 0.000
Sm2 Sm 0.001 0.747 0.000
Sm3 Sm 0.248 0.628 0.500
```



Version ii
DFT (PBE) results for a relaxed AcPm2Sm5 crystal.

Results
Its density of states at the Fermi level is 57.504 states/eV/cell. As for the size of the total moment: 0.0 μB/f.u.

```
data_AcPm2Sm5
_cell_length_a 8.771
_cell_length_b 11.497
_cell_length_c 12.621
_cell_angle_alpha 95.56
_cell_angle_beta 108.59
_cell_angle_gamma 105.69
_space_group_name_H-M_alt 'P -1'
_space_group_IT_number 2
_space_group_name_Hall '-P 1'
loop_
_atom_site_label
_atom_site_type_symbol
_atom_site_fract_x
_atom_site_fract_y
_atom_site_fract_z
Ac1 Ac 0.026 0.403 0.180
Ac2 Ac 0.099 0.340 0.692
Pm1 Pm 0.224 0.090 0.567
Pm2 Pm 0.342 0.281 0.372
Pm3 Pm 0.415 0.217 0.881
Pm4 Pm 0.465 0.032 0.246
Sm1 Sm 0.040 0.973 0.254
Sm2 Sm 0.091 0.784 0.621
Sm3 Sm 0.150 0.154 0.055
Sm4 Sm 0.168 0.724 0.132
Sm5 Sm 0.217 0.534 0.497
Sm6 Sm 0.279 0.911 0.935
Sm7 Sm 0.294 0.469 0.007
Sm8 Sm 0.354 0.846 0.444
Sm9 Sm 0.408 0.661 0.809
Sm10 Sm 0.475 0.595 0.320
```



Least stable: version ii



Version i
DFT (PBE) results for a relaxed AcPmSm crystal.

Results
Its density of states at the Fermi level is 9.257 states/eV/cell. As for the size of the total moment: 0.0 μB/f.u.

```
data_AcPmSm
_cell_length_a 5.133
_cell_length_b 5.133
_cell_length_c 8.912
_cell_angle_alpha 90.00
_cell_angle_beta 90.00
_cell_angle_gamma 90.00
_space_group_name_H-M_alt 'P 4/n m m'
_space_group_IT_number 129
loop_
_space_group_symop_operation_xyz
'x,y,z'
'-x,-y,-z'
'-y+1/2,x,z'
'y+1/2,-x,-z'
'-x+1/2,-y+1/2,z'
'x+1/2,y+1/2,-z'
'y,-x+1/2,z'
'-y,x+1/2,-z'
'x+1/2,-y,-z'
'-x+1/2,y,z'
'-y,-x,-z'
'y,x,z'
'-x,y+1/2,-z'
'x,-y+1/2,z'
'y+1/2,x+1/2,-z'
'-y+1/2,-x+1/2,z'
loop_
_atom_site_label
_atom_site_type_symbol
_atom_site_fract_x
_atom_site_fract_y
_atom_site_fract_z
Ac1 Ac 0.250 0.750 0.000
Pm1 Pm 0.250 0.250 0.303
Sm1 Sm 0.250 0.250 0.696
```



Version ii
DFT (PBE) results for a relaxed AcPmSm crystal.

Results
Its density of states at the Fermi level is 9.309 states/eV/cell. As for the size of the total moment: 0.0 μB/f.u.

```
data_AcPmSm
_cell_length_a 3.7701
_cell_length_b 3.7701
_cell_length_c 18.3684
_cell_angle_alpha 90.00
_cell_angle_beta 90.00
_cell_angle_gamma 120.00
_space_group_name_H-M_alt 'P -3 m 1'
_space_group_IT_number 164
_space_group_name_Hall '-P 3 2"'
loop_
_atom_site_label
_atom_site_type_symbol
_atom_site_fract_x
_atom_site_fract_y
_atom_site_fract_z
Ac1 Ac 0.3333 0.6667 0.4090
Pm1 Pm 0.3333 0.6667 0.9193
Sm1 Sm 0.0000 0.0000 0.2393
```



Least stable: version i



Version i
DFT (PBE) results for a relaxed AcPm4Sm3 crystal.

Results
Its density of states at the Fermi level is 28.545 states/eV/cell. As for the size of the total moment: 0.0 μB/f.u.

```
data_AcPm4Sm3
_cell_length_a 11.902
_cell_length_b 7.454
_cell_length_c 6.432
_cell_angle_alpha 90.00
_cell_angle_beta 90.00
_cell_angle_gamma 90.00
_space_group_name_H-M_alt 'P m n 21'
_space_group_IT_number 31
_space_group_name_Hall 'P 2ac -2'
loop_
_atom_site_label
_atom_site_type_symbol
_atom_site_fract_x
_atom_site_fract_y
_atom_site_fract_z
Ac1 Ac 0.000 0.125 0.000
Pm1 Pm 0.000 0.379 0.491
Pm2 Pm 0.000 0.625 0.994
Pm3 Pm 0.247 0.623 0.662
Sm1 Sm 0.000 0.870 0.494
Sm2 Sm 0.248 0.128 0.659
```



Version ii
DFT (PBE) results for a relaxed AcPm4Sm3 crystal.

Results
Its density of states at the Fermi level is 22.879 states/eV/cell. As for the size of the total moment: 0.0 μB/f.u.

```
data_AcPm4Sm3
_cell_length_a 10.391
_cell_length_b 7.375
_cell_length_c 7.368
_cell_angle_alpha 90.00
_cell_angle_beta 90.00
_cell_angle_gamma 90.00
_space_group_name_H-M_alt 'P m n a'
_space_group_IT_number 53
_space_group_name_Hall '-P 2ac 2'
loop_
_atom_site_label
_atom_site_type_symbol
_atom_site_fract_x
_atom_site_fract_y
_atom_site_fract_z
Ac1 Ac 0.000 0.000 0.000
Pm1 Pm 0.000 0.000 0.500
Pm2 Pm 0.000 0.500 0.000
Pm3 Pm 0.250 0.255 0.250
Sm1 Sm 0.000 0.500 0.500
Sm2 Sm 0.250 0.255 0.750
```



Least stable: version i



Version i
DFT (PBE) results for a relaxed Ac2Pm4Sm3 crystal.

Results
Its density of states at the Fermi level is 16.886 states/eV/cell. As for the size of the total moment: 0.0 μB/f.u.

```
data_Ac2Pm4Sm3
_cell_length_a 3.7370
_cell_length_b 3.7370
_cell_length_c 27.5542
_cell_angle_alpha 90.00
_cell_angle_beta 90.00
_cell_angle_gamma 120.00
_space_group_name_H-M_alt 'P 3 m 1'
_space_group_IT_number 156
_space_group_name_Hall 'P 3 -2"'
loop_
_atom_site_label
_atom_site_type_symbol
_atom_site_fract_x
_atom_site_fract_y
_atom_site_fract_z
Ac1 Ac 0.0000 0.0000 0.0000
Ac2 Ac 0.0000 0.0000 0.2255
Pm1 Pm 0.0000 0.0000 0.3573
Pm2 Pm 0.0000 0.0000 0.5682
Pm3 Pm 0.3333 0.6667 0.6734
Pm4 Pm 0.3333 0.6667 0.8855
Sm1 Sm 0.0000 0.0000 0.7804
Sm2 Sm 0.3333 0.6667 0.1145
Sm3 Sm 0.3333 0.6667 0.4600
```



Version ii
DFT (PBE) results for a relaxed Ac2Pm4Sm3 crystal.

Results
Its density of states at the Fermi level is 26.017 states/eV/cell. As for the size of the total moment: 0.0 μB/f.u.

```
data_Ac2Pm4Sm3
_cell_length_a 8.845
_cell_length_b 8.894
_cell_length_c 9.058
_cell_angle_alpha 90.00
_cell_angle_beta 111.46
_cell_angle_gamma 90.00
_space_group_name_H-M_alt 'P 1 21/c 1'
_space_group_IT_number 14
_space_group_name_Hall '-P 2ybc'
loop_
_atom_site_label
_atom_site_type_symbol
_atom_site_fract_x
_atom_site_fract_y
_atom_site_fract_z
Ac1 Ac 0.175 0.153 0.049
Pm1 Pm 0.085 0.537 0.869
Pm2 Pm 0.483 0.137 0.855
Sm1 Sm 0.248 0.673 0.252
Sm2 Sm 0.500 0.000 0.500
```



Least stable: version ii



Version i
DFT (PBE) results for a relaxed Ac2Pm7Sm3 crystal.

Results
Its density of states at the Fermi level is 40.899 states/eV/cell. As for the size of the total moment: 0.0 μB/f.u.

```
data_Ac2Pm7Sm3
_cell_length_a 6.062
_cell_length_b 39.008
_cell_length_c 3.711
_cell_angle_alpha 90.00
_cell_angle_beta 90.00
_cell_angle_gamma 90.00
_space_group_name_H-M_alt 'C m m m'
_space_group_IT_number 65
_space_group_name_Hall '-C 2 2'
loop_
_atom_site_label
_atom_site_type_symbol
_atom_site_fract_x
_atom_site_fract_y
_atom_site_fract_z
Ac1 Ac 0.000 0.176 0.000
Pm1 Pm 0.000 0.000 0.000
Pm2 Pm 0.000 0.087 0.500
Pm3 Pm 0.000 0.272 0.000
Pm4 Pm 0.000 0.428 0.000
Sm1 Sm 0.000 0.352 0.500
Sm2 Sm 0.000 0.500 0.500
```



Version ii
DFT (PBE) results for a relaxed Ac2Pm7Sm3 crystal.

Results
Its density of states at the Fermi level is 18.804 states/eV/cell. As for the size of the total moment: 0.0 μB/f.u.

```
data_Ac2Pm7Sm3
_cell_length_a 6.532
_cell_length_b 3.662
_cell_length_c 18.220
_cell_angle_alpha 90.00
_cell_angle_beta 96.45
_cell_angle_gamma 90.00
_space_group_name_H-M_alt 'P 1 2/m 1'
_space_group_IT_number 10
_space_group_name_Hall '-P 2y'
loop_
_atom_site_label
_atom_site_type_symbol
_atom_site_fract_x
_atom_site_fract_y
_atom_site_fract_z
Ac1 Ac 0.058 0.000 0.173
Pm1 Pm 0.000 0.500 0.500
Pm2 Pm 0.230 0.000 0.664
Pm3 Pm 0.260 0.000 0.999
Pm4 Pm 0.278 0.500 0.340
Sm1 Sm 0.452 0.500 0.839
Sm2 Sm 0.500 0.000 0.500
```



Least stable: version i



Version i
DFT (PBE) results for a relaxed Ac2PmSm crystal.

Results
Its density of states at the Fermi level is 22.155 states/eV/cell. As for the size of the total moment: 0.0 μB/f.u.

```
data_Ac2PmSm
_cell_length_a 3.7472
_cell_length_b 3.7472
_cell_length_c 39.5964
_cell_angle_alpha 90.00
_cell_angle_beta 90.00
_cell_angle_gamma 120.00
_space_group_name_H-M_alt 'R -3 m'
_space_group_IT_number 166
_space_group_name_Hall '-R 3 2"'
loop_
_atom_site_label
_atom_site_type_symbol
_atom_site_fract_x
_atom_site_fract_y
_atom_site_fract_z
Ac1 Ac 0.0000 0.0000 0.0885
Pm1 Pm 0.0000 0.0000 0.5000
Sm1 Sm 0.0000 0.0000 0.0000
```



Version ii
DFT (PBE) results for a relaxed Ac2PmSm crystal.

Results
Its density of states at the Fermi level is 5.823 states/eV/cell. As for the size of the total moment: 0.0 μB/f.u.

```
data_Ac2PmSm
_cell_length_a 3.858
_cell_length_b 5.254
_cell_length_c 7.713
_cell_angle_alpha 90.00
_cell_angle_beta 90.00
_cell_angle_gamma 90.00
_space_group_name_H-M_alt 'P m m m'
_space_group_IT_number 47
_space_group_name_Hall '-P 2 2'
loop_
_atom_site_label
_atom_site_type_symbol
_atom_site_fract_x
_atom_site_fract_y
_atom_site_fract_z
Ac1 Ac 0.000 0.000 0.250
Pm1 Pm 0.500 0.500 0.000
Sm1 Sm 0.500 0.500 0.500
```



Version iii
DFT (PBE) results for a relaxed Ac2PmSm crystal.

Results
Its density of states at the Fermi level is 18.460 states/eV/cell. As for the size of the total moment: 0.0 μB/f.u.

```
data_Ac2PmSm
_cell_length_a 3.8446
_cell_length_b 3.8446
_cell_length_c 36.7846
_cell_angle_alpha 90.00
_cell_angle_beta 90.00
_cell_angle_gamma 120.00
_space_group_name_H-M_alt 'R 3 m'
_space_group_IT_number 160
_space_group_name_Hall 'R 3 -2"'
loop_
_atom_site_label
_atom_site_type_symbol
_atom_site_fract_x
_atom_site_fract_y
_atom_site_fract_z
Ac1 Ac 0.0000 0.0000 0.0000
Ac2 Ac 0.0000 0.0000 0.1667
Pm1 Pm 0.0000 0.0000 0.4161
Sm1 Sm 0.0000 0.0000 0.5844
```



Version iv
DFT (PBE) results for a relaxed Ac2PmSm crystal.

Results
Its density of states at the Fermi level is 31.761 states/eV/cell. As for the size of the total moment: 0.0 μB/f.u.

```
data_Ac2PmSm
_cell_length_a 8.569
_cell_length_b 8.569
_cell_length_c 8.569
_cell_angle_alpha 90.00
_cell_angle_beta 90.00
_cell_angle_gamma 90.00
_space_group_name_H-M_alt 'F m -3 m'
_space_group_IT_number 225
_space_group_name_Hall '-F 4 2 3'
loop_
_atom_site_label
_atom_site_type_symbol
_atom_site_fract_x
_atom_site_fract_y
_atom_site_fract_z
Ac1 Ac 0.250 0.250 0.250
Pm1 Pm 0.000 0.000 0.000
Sm1 Sm 0.000 0.000 0.500
```



Least stable: version i